[1]
{
  "formula": "BaMg2Zn",
  "functional": "PBE",
  "state": "optimized geometry",
  "lattice": [[-0.6654, 5.3608, 0.5712], [-0.3763, -0.5495, 4.7182], [4.7140, 0.5383, 0.4387]],
  "species": ["Ba", "Mg", "Mg", "Zn"],
  "frac_coords": [[0.5000, 0.0000, 0.5000], [0.0000, 0.0000, 0.0000], [0.0000, 0.5000, 0.5000], [0.5000, 0.5000, 0.0000]],
  "crystal_system": "tetragonal",
  "formation_energy_mev_per_atom": 79,
  "e_tot_ev_per_cell": -6.070,
  "density_g_cm3": 3.384
}

[2]
{
  "formula": "MgAgIr",
  "functional": "PBE",
  "state": "optimized geometry",
  "lattice": [[-1.3789, 4.3064, 2.0645], [0.3188, 0.6361, 4.9196], [2.3966, -1.0243, -4.2327]],
  "species": ["Ag", "Ir", "Mg"],
  "frac_coords": [[0.0012, 0.0012, 0.0000], [0.6721, 0.6721, 0.0000], [0.3267, 0.3267, 0.0000]],
  "crystal_system": "orthorhombic",
  "formation_energy_mev_per_atom": 21,
  "e_tot_ev_per_cell": -13.243,
  "polymorph_energy_kcal_per_mol_atoms": 0.957,
  "density_g_cm3": 10.876
}

[3]
{
  "formula": "GdPuZnCd",
  "functional": "PBE",
  "state": "optimized geometry",
  "lattice": [[5.2236, 0.0000, 0.0000], [2.6118, 4.5238, 0.0000], [2.6118, 1.5079, 4.2650]],
  "species": ["Cd", "Zn", "Gd", "Pu"],
  "frac_coords": [[0.7500, 0.7500, 0.7500], [0.2500, 0.2500, 0.2500], [0.0000, 0.0000, 0.0000], [0.5000, 0.5000, 0.5000]],
  "crystal_system": "cubic",
  "formation_energy_mev_per_atom": -127,
  "e_tot_ev_per_cell": -31.110,
  "density_g_cm3": 9.541
}

[4]
{
  "formula": "ScTa2Cu",
  "functional": "PBE",
  "state": "optimized geometry",
  "lattice": [[-4.5576, -3.2070, 1.0662], [-2.0218, -4.8836, 2.0631], [-1.4596, 0.3234, 4.2568]],
  "species": ["Cu", "Sc", "Ta", "Ta"],
  "frac_coords": [[0.7500, 0.7500, 0.7500], [0.2500, 0.2500, 0.2500], [0.0206, 0.0206, 0.9794], [0.4794, 0.4794, 0.5206]],
  "crystal_system": "orthorhombic",
  "formation_energy_mev_per_atom": 67,
  "e_tot_ev_per_cell": -33.866,
  "polymorph_energy_kcal_per_mol_atoms": 0.000,
  "density_g_cm3": 10.917
}